# 1
Zn2NiTe | Alexandria | GGA-PBE | optimized geometry; formation energy (no corrections) = 0.344 eV/atom
1.0
6.553 0.000 0.000
0.000 6.553 0.000
0.000 0.000 6.553
Zn Ni Te
8 4 4
Cartesian
1.638 1.638 1.638
1.638 1.638 4.915
1.638 4.915 1.638
1.638 4.915 4.915
4.915 1.638 1.638
4.915 1.638 4.915
4.915 4.915 1.638
4.915 4.915 4.915
0.000 0.000 0.000
0.000 3.276 3.276
3.276 0.000 3.276
3.276 3.276 0.000
0.000 0.000 3.276
0.000 3.276 0.000
3.276 0.000 0.000
3.276 3.276 3.276

# 2
SrPrGaSn | Alexandria | GGA-PBE | optimized geometry; DFT formation energy = -1.9 eV/f.u.
1.0
7.797 0.000 0.000
0.000 7.797 0.000
0.000 0.000 7.797
Sr Pr Ga Sn
4 4 4 4
Cartesian
0.000 0.000 0.000
0.000 3.899 3.899
3.899 0.000 3.899
3.899 3.899 0.000
0.000 0.000 3.899
0.000 3.899 0.000
3.899 0.000 0.000
3.899 3.899 3.899
1.949 1.949 5.848
1.949 5.848 1.949
5.848 1.949 1.949
5.848 5.848 5.848
1.949 1.949 1.949
1.949 5.848 5.848
5.848 1.949 5.848
5.848 5.848 1.949

# 3
PaAl2BiO8 | Alexandria | GGA-PBE | optimized geometry; formation energy (no corrections) = -2.421 eV/atom
1.0
-3.433 3.433 3.279
3.433 -3.433 3.279
3.433 3.433 -3.279
Pa Al Bi O
1 2 1 8
Cartesian
0.000 0.000 0.000
3.433 0.000 1.640
0.000 0.000 3.279
0.000 3.433 1.640
2.165 0.000 0.391
4.701 0.000 0.391
3.433 2.167 -1.240
3.433 -1.268 2.888
0.000 1.266 2.039
3.433 1.268 2.888
2.167 3.433 1.240
1.266 0.000 4.519

# 4
PuBN | Alexandria | GGA-PBE | optimized geometry; formation energy (no corrections) = 0.062 eV/atom
1.0
3.051 0.000 0.000
0.000 17.668 0.000
0.000 0.000 3.104
Pu B N
4 4 4
Cartesian
0.000 2.037 0.776
0.000 15.631 2.328
1.525 6.797 2.328
1.525 10.871 0.776
0.000 4.417 2.328
0.000 13.251 0.776
1.525 4.417 0.776
1.525 13.251 2.328
0.000 7.389 0.776
0.000 10.279 2.328
1.525 1.445 2.328
1.525 16.223 0.776